Entry 1:
This record from OQMD via LeMat-Bulk describes a relaxed structure of NdHoAg2Bi4. The functional is PBE.

Summary:
symmetry = P4mm
volume = 216.51 Å³/f.u.
E_tot = -35.04 eV for the cell shown
magnetic moment = 0.00 μB/f.u.

a = 4.5670 Å, b = 4.5670 Å, c = 10.3804 Å
α = 90.00°, β = 90.00°, γ = 90.00°
Closest atoms and distances in Å follow each position.
Positions (direct):
1 Nd 0.0000 0.0000 0.0000  8 Bi 3.31-3.47, 4 Ag 3.53
2 Ho 0.5000 0.5000 0.4964  8 Bi 3.28-3.41, 4 Ag 3.41
3 Ag 0.0000 0.5000 0.7410  4 Bi 2.99-3.02, 4 Ag 3.23
4 Ag 0.5000 0.0000 0.7410  4 Bi 2.99-3.02, 4 Ag 3.23
5 Bi 0.0000 0.0000 0.5544  4 Ag 2.99, 4 Ho 3.28
6 Bi 0.0000 0.5000 0.2519  4 Bi 3.23, 2 Ho 3.41, 2 Nd 3.47
7 Bi 0.5000 0.0000 0.2519  4 Bi 3.23, 2 Ho 3.41, 2 Nd 3.47
8 Bi 0.5000 0.5000 0.9307  4 Ag 3.02, 4 Nd 3.31

Entry 2:
This record from OQMD via LeMat-Bulk describes a relaxed structure of GaPt9. The functional is PBE.

Summary:
symmetry = Pmmn
volume = 231.99 Å³/f.u.
energy relative to the lowest polymorph listed for this composition = 0.000 eV per atom
magnetic moment = 0.02 μB/f.u.

a = 2.7997 Å, b = 3.9261 Å, c = 42.2109 Å
α = 90.00°, β = 90.00°, γ = 90.00°
Closest atoms and distances in Å follow each position.
Positions (direct):
1 Ga 0.2500 0.2500 0.1862  5 Pt 2.56-2.57, 2 Ga 2.80
2 Ga 0.7500 0.7500 0.8138  5 Pt 2.56-2.57, 2 Ga 2.80
3 Pt 0.2500 0.2500 0.2471  1 Ga 2.57, 7 Pt 2.79-2.87
4 Pt 0.2500 0.2500 0.3150  12 Pt 2.80-2.87
5 Pt 0.2500 0.2500 0.3825  12 Pt 2.80-2.85
6 Pt 0.2500 0.2500 0.4496  12 Pt 2.80-2.83
7 Pt 0.2500 0.2500 0.5167  12 Pt 2.79-2.84
8 Pt 0.2500 0.2500 0.5840  12 Pt 2.80-2.85
9 Pt 0.2500 0.2500 0.6515  12 Pt 2.80-2.88
10 Pt 0.2500 0.2500 0.7196  12 Pt 2.79-3.11
11 Pt 0.2500 0.2500 0.7933  4 Ga 2.56, 2 Pt 2.80
12 Pt 0.7500 0.7500 0.2067  4 Ga 2.56, 2 Pt 2.80
13 Pt 0.7500 0.7500 0.2804  12 Pt 2.79-3.11
14 Pt 0.7500 0.7500 0.3485  12 Pt 2.80-2.88
15 Pt 0.7500 0.7500 0.4160  12 Pt 2.80-2.85
16 Pt 0.7500 0.7500 0.4833  12 Pt 2.79-2.84
17 Pt 0.7500 0.7500 0.5504  12 Pt 2.80-2.83
18 Pt 0.7500 0.7500 0.6175  12 Pt 2.80-2.85
19 Pt 0.7500 0.7500 0.6850  12 Pt 2.80-2.87
20 Pt 0.7500 0.7500 0.7529  1 Ga 2.57, 7 Pt 2.79-2.87

Entry 3:
This record from OQMD via LeMat-Bulk describes a relaxed structure of HoErFe2Ge2. The functional is PBE.

Summary:
symmetry = P4mm
volume = 107.95 Å³/f.u.
E_tot = -38.21 eV for the cell shown
magnetic moment = 0.17 μB/f.u.

a = 4.0956 Å, b = 4.0956 Å, c = 6.4354 Å
α = 90.00°, β = 90.00°, γ = 90.00°
Closest atoms and distances in Å follow each position.
Positions (direct):
1 Ho 0.0000 0.0000 0.0000  4 Fe 2.86, 5 Ge 2.98-3.15
2 Er 0.5000 0.5000 0.3809  4 Fe 2.85, 5 Ge 2.98-3.17
3 Fe 0.0000 0.5000 0.6891  4 Ge 2.42
4 Fe 0.5000 0.0000 0.6891  4 Ge 2.42
5 Ge 0.0000 0.0000 0.4898  4 Fe 2.42
6 Ge 0.5000 0.5000 0.8885  4 Fe 2.42

Entry 4:
This record from OQMD via LeMat-Bulk describes a relaxed structure of NbGaBi. The functional is PBE.

Summary:
symmetry = F-43m
volume = 79.37 Å³/f.u.
E_tot = -14.58 eV for the cell shown
magnetic moment = 1.00 μB/f.u.

a = 4.8239 Å, b = 4.8239 Å, c = 4.8239 Å
α = 60.00°, β = 60.00°, γ = 60.00°
Closest atoms and distances in Å follow each position.
Positions (direct):
1 Nb 0.0000 0.0000 0.0000  4 Bi 2.95
2 Ga 0.5000 0.5000 0.5000  4 Bi 2.95
3 Bi 0.7500 0.7500 0.7500  4 Ga 2.95, 4 Nb 2.95

Entry 5:
This record from OQMD via LeMat-Bulk describes a relaxed structure of RbScTcSe3. The functional is PBE.

Summary:
symmetry = Cmcm
volume = 150.57 Å³/f.u.
energy relative to the lowest polymorph listed for this composition = 0.038 eV per atom
magnetic moment = 1.00 μB/f.u.

a = 8.0381 Å, b = 8.0381 Å, c = 9.6312 Å
α = 90.00°, β = 90.00°, γ = 151.06°
Closest atoms and distances in Å follow each position.
Positions (direct):
1 Rb 0.2392 0.7608 0.7500  8 Se 3.43-3.59
2 Rb 0.7608 0.2392 0.2500  8 Se 3.43-3.59
3 Sc 0.4834 0.5166 0.2500  4 Se 2.53-2.55
4 Sc 0.5166 0.4834 0.7500  4 Se 2.53-2.55
5 Tc 0.0000 0.0000 0.0000  6 Se 2.68-2.73
6 Tc 0.0000 0.0000 0.5000  6 Se 2.68-2.73
7 Se 0.0824 0.9176 0.2500  2 Sc 2.53, 2 Tc 2.73
8 Se 0.3882 0.6118 0.0345  1 Sc 2.55, 2 Tc 2.68
9 Se 0.3882 0.6118 0.4655  1 Sc 2.55, 2 Tc 2.68
10 Se 0.6118 0.3882 0.5345  1 Sc 2.55, 2 Tc 2.68
11 Se 0.6118 0.3882 0.9655  1 Sc 2.55, 2 Tc 2.68
12 Se 0.9176 0.0824 0.7500  2 Sc 2.53, 2 Tc 2.73

Entry 6:
This record from OQMD via LeMat-Bulk describes a relaxed structure of BeCoSbPt. The functional is PBE.

Summary:
symmetry = F-43m
volume = 57.01 Å³/f.u.
energy relative to the lowest polymorph listed for this composition = 0.000 eV per atom
magnetic moment = 1.07 μB/f.u.

a = 4.3201 Å, b = 4.3201 Å, c = 4.3201 Å
α = 60.00°, β = 60.00°, γ = 60.00°
Closest atoms and distances in Å follow each position.
Positions (direct):
1 Be 0.0000 0.0000 0.0000  4 Co 2.65, 4 Pt 2.65
2 Co 0.7500 0.7500 0.7500  4 Sb 2.65, 4 Be 2.65
3 Sb 0.5000 0.5000 0.5000  4 Co 2.65, 4 Pt 2.65
4 Pt 0.2500 0.2500 0.2500  4 Sb 2.65, 4 Be 2.65

Entry 7:
This record from OQMD via LeMat-Bulk describes a relaxed structure of Pu2CN4. The functional is PBE.

Summary:
symmetry = I4/mmm
volume = 97.87 Å³/f.u.
E_tot = -76.39 eV for the cell shown
magnetic moment = 8.01 μB/f.u.

a = 7.8672 Å, b = 7.8672 Å, c = 7.8672 Å
α = 153.34°, β = 153.34°, γ = 38.06°
Closest atoms and distances in Å follow each position.
Positions (direct):
1 Pu 0.1674 0.1674 0.0000  4 N 2.19
2 Pu 0.8326 0.8326 0.0000  4 N 2.19
3 C 0.5000 0.5000 0.0000  2 N 1.24
4 N 0.2500 0.7500 0.5000  4 Pu 2.19
5 N 0.4164 0.4164 0.0000  1 C 1.24
6 N 0.5836 0.5836 0.0000  1 C 1.24
7 N 0.7500 0.2500 0.5000  4 Pu 2.19

Entry 8:
This record from OQMD via LeMat-Bulk describes a relaxed structure of HoTmGeI2. The functional is PBE.

Summary:
symmetry = P3m1
volume = 164.03 Å³/f.u.
energy relative to the lowest polymorph listed for this composition = 0.003 eV per atom
magnetic moment = 0.01 μB/f.u.

a = 4.2036 Å, b = 4.2036 Å, c = 10.7184 Å
α = 90.00°, β = 90.00°, γ = 120.00°
Closest atoms and distances in Å follow each position.
Positions (direct):
1 Ho 0.0000 0.0000 0.0000  3 Ge 2.88, 3 I 3.15
2 Tm 0.3333 0.6667 0.7136  3 Ge 2.86, 3 I 3.13
3 Ge 0.6667 0.3333 0.8555  3 Tm 2.86, 3 Ho 2.88
4 I 0.0000 0.0000 0.5288  3 Tm 3.13
5 I 0.3333 0.6667 0.1873  3 Ho 3.15

Entry 9:
This record from OQMD via LeMat-Bulk describes a relaxed structure of Zr4BiSN2. The functional is PBE.

Summary:
symmetry = P-6m2
volume = 133.20 Å³/f.u.
E_tot = -69.20 eV for the cell shown
magnetic moment = 0.01 μB/f.u.

a = 3.4375 Å, b = 3.4375 Å, c = 13.0169 Å
α = 90.00°, β = 90.00°, γ = 120.00°
Closest atoms and distances in Å follow each position.
Positions (direct):
1 Zr 0.0000 0.0000 0.1388  3 N 2.31
2 Zr 0.0000 0.0000 0.8612  3 N 2.31
3 Zr 0.6667 0.3333 0.3173  3 N 2.29
4 Zr 0.6667 0.3333 0.6827  3 N 2.29
5 Bi 0.0000 0.0000 0.5000  6 Zr 3.10, 6 Bi 3.44
6 S 0.6667 0.3333 0.0000  6 Zr 2.68
7 N 0.3333 0.6667 0.2296  6 Zr 2.29-2.31
8 N 0.3333 0.6667 0.7704  6 Zr 2.29-2.31

Entry 10:
This record from OQMD via LeMat-Bulk describes a relaxed structure of Hf2Ge2W. The functional is PBE.

Summary:
symmetry = P4/mbm
volume = 87.43 Å³/f.u.
E_tot = -89.45 eV for the cell shown
magnetic moment = 0.00 μB/f.u.

a = 6.7958 Å, b = 6.7958 Å, c = 3.7864 Å
α = 90.00°, β = 90.00°, γ = 90.00°
Closest atoms and distances in Å follow each position.
Positions (direct):
1 Hf 0.1725 0.3275 0.0000  6 Ge 2.66-2.82
2 Hf 0.3275 0.8275 0.0000  6 Ge 2.66-2.82
3 Hf 0.6725 0.1725 0.0000  6 Ge 2.66-2.82
4 Hf 0.8275 0.6725 0.0000  6 Ge 2.66-2.82
5 Ge 0.1324 0.6324 0.5000  1 Ge 2.54, 2 W 2.66, 6 Hf 2.66-2.82
6 Ge 0.3676 0.1324 0.5000  1 Ge 2.54, 2 W 2.66, 6 Hf 2.66-2.82
7 Ge 0.6324 0.8676 0.5000  1 Ge 2.54, 2 W 2.66, 6 Hf 2.66-2.82
8 Ge 0.8676 0.3676 0.5000  1 Ge 2.54, 2 W 2.66, 6 Hf 2.66-2.82
9 W 0.0000 0.0000 0.5000  4 Ge 2.66
10 W 0.5000 0.5000 0.5000  4 Ge 2.66

Entry 11:
This record from OQMD via LeMat-Bulk describes a relaxed structure of HoTm2Mg3Pt3. The functional is PBE.

Summary:
symmetry = Amm2
volume = 186.72 Å³/f.u.
E_tot = -45.13 eV for the cell shown
magnetic moment = 0.01 μB/f.u.

a = 4.0547 Å, b = 7.2942 Å, c = 7.2942 Å
α = 120.06°, β = 90.00°, γ = 90.00°
Closest atoms and distances in Å follow each position.
Positions (direct):
1 Ho 0.0000 0.0000 0.0000  5 Pt 3.00-3.01, 6 Mg 3.22-3.30
2 Tm 0.0000 0.4101 0.8190  5 Pt 2.98-2.99, 6 Mg 3.23-3.30
3 Tm 0.0000 0.8190 0.4101  5 Pt 2.98-2.99, 6 Mg 3.23-3.30
4 Mg 0.5000 0.1637 0.4105  4 Pt 2.71-2.81
5 Mg 0.5000 0.4105 0.1637  4 Pt 2.71-2.81
6 Mg 0.5000 0.6561 0.6561  4 Pt 2.70-2.81
7 Pt 0.0000 0.4115 0.4115  6 Mg 2.70-2.71, 2 Tm 2.98, 1 Ho 3.00
8 Pt 0.5000 0.0772 0.7417  3 Mg 2.79-2.81, 4 Tm 2.99, 2 Ho 3.01
9 Pt 0.5000 0.7417 0.0772  3 Mg 2.79-2.81, 4 Tm 2.99, 2 Ho 3.01

Entry 12:
This record from OQMD via LeMat-Bulk describes a relaxed structure of TmBSb. The functional is PBE.

Summary:
symmetry = F-43m
volume = 61.78 Å³/f.u.
energy relative to the lowest polymorph listed for this composition = 0.000 eV per atom
magnetic moment = 0.00 μB/f.u.

a = 4.4373 Å, b = 4.4373 Å, c = 4.4373 Å
α = 60.00°, β = 60.00°, γ = 60.00°
Closest atoms and distances in Å follow each position.
Positions (direct):
1 Tm 0.0000 0.0000 0.0000  4 B 2.72
2 B 0.7500 0.7500 0.7500  4 Sb 2.72, 4 Tm 2.72
3 Sb 0.5000 0.5000 0.5000  4 B 2.72